Compound: Cs3Ac2CoO6
Source: the Alexandria database
Functional: PBE with a Hubbard U
Structure: optimized geometry

Summary:
Density = 6.37 g/cm³
Magnetization = 0.33 μB/atom
Symmetry = No. 12
Raw total energy = -5.682 eV/atom

Cell lengths 6.402, 6.402, 7.702 Å; angles 103.72, 103.72, 112.91 degrees
Positions (direct):
Cs 0.165 0.835 0.500
Cs 0.835 0.165 0.500
Cs 0.500 0.500 0.500
Ac 0.334 0.666 0.000
Ac 0.666 0.334 0.000
Co 0.000 0.000 0.000
O 0.928 0.658 0.874
O 0.689 0.689 0.234
O 0.072 0.342 0.126
O 0.658 0.928 0.874
O 0.311 0.311 0.766
O 0.342 0.072 0.126